No. 1
Compound: Rb2Tl4I3Br2
Source: the Alexandria database
Functional: PBE
Structure: optimized geometry

Density of states at the Fermi level   0.490 states/eV per atom

Cell: 6.311 6.311 14.202 Å, 102.84 102.84 90.00°
Atoms (fractional coordinates):
I  0.828  0.828  0.657
Tl  0.432  0.932  0.864
Rb  0.696  0.696  0.392
Br  0.426  0.426  0.852
Tl  0.932  0.432  0.864
I  0.000  0.000  0.000
Tl  0.068  0.568  0.136
I  0.172  0.172  0.343
Tl  0.568  0.068  0.136
Rb  0.304  0.304  0.608
Br  0.574  0.574  0.148


No. 2
Compound: RbTlI2Br6
Source: the Alexandria database
Functional: PBE
Structure: optimized geometry

Cell: 7.342 9.077 8.617 Å, 87.21 117.19 119.40°
Atoms (fractional coordinates):
I  0.498  0.591  0.209
I  0.495  0.405  0.752
Br  0.951  0.850  0.284
Tl  0.997  0.998  0.980
Br  0.042  0.146  0.676
Br  0.544  0.898  0.788
Br  0.449  0.098  0.173
Br  0.061  0.321  0.143
Rb  0.997  0.498  0.480
Br  0.932  0.675  0.818


No. 3
Compound: Rb2TlIBr6
Source: the Alexandria database
Functional: PBE
Structure: optimized geometry

Density of states at the Fermi level   0.050 states/eV per atom

Cell: 8.044 8.044 8.830 Å, 62.91 62.91 90.00°
Atoms (fractional coordinates):
Tl  0.000  0.000  0.000
Br  0.222  0.222  0.556
Br  0.744  0.744  0.000
Br  0.744  0.256  0.000
I  0.500  0.500  0.000
Br  0.256  0.744  0.000
Br  0.256  0.256  0.000
Rb  0.250  0.750  0.500
Br  0.778  0.778  0.444
Rb  0.750  0.250  0.500


No. 4
Compound: RbTlI2Br
Source: the Alexandria database
Functional: PBE
Structure: optimized geometry

Density of states at the Fermi level   0.305 states/eV per atom

Cell: 6.229 6.229 5.888 Å, 90.00 90.00 90.00°
Atoms (fractional coordinates):
Br  0.000  0.000  0.500
Rb  0.500  0.500  0.500
I  0.500  0.000  0.000
I  0.000  0.500  0.000
Tl  0.000  0.000  0.000


No. 5
Compound: Rb2UI3Br3
Source: the Alexandria database
Functional: PBE
Structure: optimized geometry

Density of states at the Fermi level   0.458 states/eV per atom

Cell: 4.545 9.236 9.236 Å, 120.00 90.00 90.00°
Atoms (fractional coordinates):
Rb  0.500  0.667  0.333
I  0.000  0.000  0.360
Br  0.500  0.216  0.216
Br  0.500  0.000  0.784
Br  0.500  0.784  0.000
I  0.000  0.640  0.640
I  0.000  0.360  0.000
Rb  0.500  0.333  0.667
U  0.000  0.000  0.000


No. 6
Compound: Rb2UI4Br2
Source: the Alexandria database
Functional: PBE
Structure: optimized geometry

Density of states at the Fermi level   0.655 states/eV per atom

Cell: 7.219 8.113 8.113 Å, 63.38 79.60 79.60°
Atoms (fractional coordinates):
Br  0.204  0.164  0.164
Rb  0.749  0.329  0.329
U  0.500  0.000  0.000
I  0.702  0.840  0.345
Br  0.796  0.836  0.836
I  0.702  0.345  0.840
I  0.298  0.655  0.160
Rb  0.251  0.671  0.671
I  0.298  0.160  0.655


No. 7
Compound: RbUI2Br8
Source: the Alexandria database
Functional: PBE
Structure: optimized geometry

Density of states at the Fermi level   0.013 states/eV per atom

Cell: 7.207 9.200 9.901 Å, 71.53 89.50 106.85°
Atoms (fractional coordinates):
I  0.566  0.475  0.271
Br  0.102  0.825  0.243
U  0.000  0.000  0.000
Rb  0.000  0.000  0.500
Br  0.619  0.804  0.069
Br  0.922  0.191  0.134
I  0.434  0.525  0.729
Br  0.514  0.190  0.456
Br  0.381  0.196  0.931
Br  0.486  0.810  0.544
Br  0.898  0.175  0.757
Br  0.078  0.809  0.866


No. 8
Compound: Rb3UI2Br6
Source: the Alexandria database
Functional: PBE
Structure: optimized geometry

Cell: 6.305 9.834 10.310 Å, 118.48 90.65 90.00°
Atoms (fractional coordinates):
Rb  0.000  0.500  0.000
U  0.500  0.000  0.000
Rb  0.500  0.500  0.500
Br  0.263  0.737  0.869
Br  0.737  0.869  0.131
I  0.099  0.694  0.388
Rb  0.500  0.000  0.500
Br  0.748  0.880  0.760
I  0.901  0.306  0.612
Br  0.252  0.120  0.240
Br  0.737  0.263  0.131
Br  0.263  0.131  0.869


No. 9
Compound: Rb2UIBr5
Source: the Alexandria database
Functional: PBE
Structure: optimized geometry

Density of states at the Fermi level   0.849 states/eV per atom

Cell: 8.142 8.142 8.142 Å, 87.31 121.56 121.56°
Atoms (fractional coordinates):
U  0.000  0.000  0.000
Br  0.000  0.237  0.237
I  0.000  0.741  0.741
Br  0.507  0.747  0.747
Br  0.000  0.747  0.240
Br  0.000  0.240  0.747
Rb  0.500  0.774  0.274
Br  0.493  0.240  0.240
Rb  0.500  0.274  0.774


No. 10
Compound: Rb2UI5Br
Source: the Alexandria database
Functional: PBE
Structure: optimized geometry

Density of states at the Fermi level   0.803 states/eV per atom

Cell: 8.388 8.388 8.388 Å, 92.45 118.60 118.60°
Atoms (fractional coordinates):
I  0.499  0.250  0.250
Rb  0.500  0.745  0.245
I  0.501  0.751  0.751
I  0.000  0.250  0.751
Rb  0.500  0.245  0.745
U  0.000  0.996  0.996
I  0.000  0.751  0.250
I  0.000  0.254  0.254
Br  0.000  0.759  0.759


Respective E_form (uncorrected) values: -0.7899 -0.5513 -0.8158 -0.8696 -1.2536 -1.2765 -0.9289 -1.3937 -1.4813 -1.2066 eV/atom.
Respective total magnetization values: 0.00 0.00 0.00 0.00 2.00 2.00 1.00 0.91 2.00 2.00 Bohr magnetons per cell.